VASP calculation (GGA+U) on a relaxed structure of PuCrBO5.

Results
Total moment, μB/f.u.: 7.00
Total DFT energy (no corrections), eV/f.u.: -72.55
Volume, A^3/atom: 10.633

Cell: 5.298 5.298 6.817 Å, 102.98 102.98 106.44°
Fractional coordinates of all 16 atoms:
Pu 0.162 0.838 0.750
Pu 0.838 0.162 0.250
Cr 0.500 0.500 0.000
Cr 0.500 0.500 0.500
B 0.183 0.817 0.250
B 0.817 0.183 0.750
O 0.092 0.237 0.909
O 0.176 0.610 0.368
O 0.237 0.092 0.409
O 0.390 0.824 0.132
O 0.405 0.595 0.750
O 0.595 0.405 0.250
O 0.610 0.176 0.868
O 0.763 0.908 0.591
O 0.824 0.390 0.632
O 0.908 0.763 0.091